Material: PrZnGa
Method: DFT, PBE
State: optimized geometry

Symmetry   No. 186
DFT total energy   -21.46 eV/cell

abc: 4.530 4.530 7.544
angles: 90.00 90.00 120.00
Fractional positions:
Pr 0.000 0.000 0.750
Pr 0.000 0.000 0.250
Ga 0.667 0.333 0.970
Zn 0.667 0.333 0.530
Zn 0.333 0.667 0.030
Ga 0.333 0.667 0.470

Material: ZrBePd
Method: DFT, PBE
State: optimized geometry

Symmetry   No. 123
Energy relative to the lowest polymorph listed for this composition   0.1494 eV per atom

abc: 2.982 2.982 10.230
angles: 90.00 90.00 90.00
Fractional positions:
Zr 0.500 0.500 0.200
Pd 0.500 0.500 0.500
Pd 0.000 0.000 0.000
Zr 0.500 0.500 0.800
Be 0.000 0.000 0.384
Be 0.000 0.000 0.616

Material: SmGaGeIr2
Method: DFT, PBE
State: optimized geometry

Symmetry   No. 129
DFT total energy   -67.91 eV/cell

abc: 4.194 4.194 10.497
angles: 90.00 90.00 90.00
Fractional positions:
Ir 0.500 0.500 0.000
Ir 0.500 0.000 0.638
Sm 0.500 0.000 0.249
Ge 0.500 0.000 0.871
Ir 0.000 0.500 0.362
Ir 0.000 0.000 0.000
Sm 0.000 0.500 0.751
Ga 0.000 0.000 0.500
Ge 0.000 0.500 0.129
Ga 0.500 0.500 0.500

Number 1 is which compound?
PrZnGa

What is the formula in the first record?
PrZnGa